[1]
Computed, not measured: a relaxed In2GaCoCl crystal at the GGA-PBE level of DFT.

abc: 5.7826 5.7826 4.0549
angles: 90.00 90.00 90.00
Sites, in units of the cell vectors:
In  0.0000  0.5000  0.0000
In  0.5000  0.0000  0.0000
Ga  0.0000  0.0000  0.5000
Co  0.5000  0.5000  0.5000
Cl  0.5000  0.5000  0.0000

Summary:
As for the polymorph energy (0 for the lowest one): 771 meV per atom. The energy relative to the elements, uncorrected is 0.47 eV/atom.

[2]
Computed, not measured: a relaxed InGa2CoCl crystal at the GGA-PBE level of DFT.

abc: 5.4427 5.4427 4.0686
angles: 90.00 90.00 90.00
Sites, in units of the cell vectors:
In  0.0000  0.0000  0.0000
Ga  0.0000  0.5000  0.5000
Ga  0.5000  0.0000  0.5000
Co  0.5000  0.5000  0.0000
Cl  0.5000  0.5000  0.5000

Summary:
As for the polymorph energy (0 for the lowest one): 778 meV per atom. The energy relative to the elements, uncorrected is 0.45 eV/atom.

[3]
Computed, not measured: a relaxed In2GaCoCl crystal at the GGA-PBE level of DFT.

abc: 5.0334 5.0334 4.5631
angles: 90.00 90.00 90.00
Sites, in units of the cell vectors:
In  0.0000  0.5000  0.0000
In  0.5000  0.0000  0.0000
Ga  0.0000  0.0000  0.5000
Co  0.0000  0.0000  0.0000
Cl  0.5000  0.5000  0.5000

Summary:
As for the polymorph energy (0 for the lowest one): 0 meV per atom. The energy relative to the elements, uncorrected is -0.30 eV/atom.

no.,total DFT energy (no corrections) (eV/atom)
1,-3.02
2,-3.10
3,-3.79